No. 1
Compound: ErThCoSe
Source: the Alexandria database
Functional: PBE-GGA
Structure: relaxed

Values from the calculation:
calculated total energy: -6.556 eV/atom
magnetic moment: 0.0000 μB per atom
D(E_F): 2.4 states/eV per cell
symmetry: R3m (160)

Unit cell a=3.9389 b=3.9389 c=21.5080 alpha=90.00 beta=90.00 gamma=120.00
Fractional positions:
Er: 0.0000 0.0000 0.0000
Er: 0.3333 0.6667 0.6667
Er: 0.6667 0.3333 0.3333
Th: 0.0000 0.0000 0.8069
Th: 0.3333 0.6667 0.4735
Th: 0.6667 0.3333 0.1402
Co: 0.0000 0.0000 0.4077
Co: 0.3333 0.6667 0.0744
Co: 0.6667 0.3333 0.7411
Se: 0.0000 0.0000 0.2417
Se: 0.3333 0.6667 0.9084
Se: 0.6667 0.3333 0.5750

---

No. 2
Compound: ErCoSi2
Source: the Alexandria database
Functional: PBE-GGA
Structure: relaxed

Values from the calculation:
calculated total energy: -6.385 eV/atom
magnetic moment: 0.0000 μB per atom
D(E_F): 6.1 states/eV per cell
symmetry: R-3m (166)

Unit cell a=3.8767 b=3.8767 c=14.7639 alpha=90.00 beta=90.00 gamma=120.00
Fractional positions:
Er: 0.0000 0.0000 0.0000
Er: 0.3333 0.6667 0.6667
Er: 0.6667 0.3333 0.3333
Co: 0.0000 0.0000 0.5000
Co: 0.3333 0.6667 0.1667
Co: 0.6667 0.3333 0.8333
Si: 0.0000 0.0000 0.2087
Si: 0.0000 0.0000 0.7913
Si: 0.3333 0.6667 0.4580
Si: 0.3333 0.6667 0.8754
Si: 0.6667 0.3333 0.1246
Si: 0.6667 0.3333 0.5420

---

No. 3
Compound: ErCo4Si
Source: the Alexandria database
Functional: PBE-GGA
Structure: relaxed

Values from the calculation:
calculated total energy: -6.664 eV/atom
magnetic moment: 0.4851 μB per atom
D(E_F): 14.3 states/eV per cell
symmetry: Cmcm (63)

Unit cell a=7.4229 b=7.4229 c=6.1257 alpha=90.00 beta=90.00 gamma=151.52
Fractional positions:
Er: 0.1118 0.8882 0.7500
Er: 0.8882 0.1118 0.2500
Co: 0.0746 0.9254 0.2500
Co: 0.3197 0.6803 0.5543
Co: 0.3197 0.6803 0.9457
Co: 0.5000 0.5000 0.0000
Co: 0.5000 0.5000 0.5000
Co: 0.6803 0.3197 0.0543
Co: 0.6803 0.3197 0.4457
Co: 0.9254 0.0746 0.7500
Si: 0.2299 0.7701 0.2500
Si: 0.7701 0.2299 0.7500

---

No. 4
Compound: ErCo2Si2
Source: the Alexandria database
Functional: PBE-GGA
Structure: relaxed

Values from the calculation:
calculated total energy: -6.756 eV/atom
magnetic moment: 0.0000 μB per atom
D(E_F): 6.0 states/eV per cell
symmetry: I4/mmm (139)

Unit cell a=3.8573 b=3.8573 c=9.7244 alpha=90.00 beta=90.00 gamma=90.00
Fractional positions:
Er: 0.0000 0.0000 0.0000
Er: 0.5000 0.5000 0.5000
Co: 0.0000 0.5000 0.2500
Co: 0.0000 0.5000 0.7500
Co: 0.5000 0.0000 0.2500
Co: 0.5000 0.0000 0.7500
Si: 0.0000 0.0000 0.3728
Si: 0.0000 0.0000 0.6272
Si: 0.5000 0.5000 0.1272
Si: 0.5000 0.5000 0.8728

---

No. 5
Compound: ErCoSi
Source: the Alexandria database
Functional: PBE-GGA
Structure: relaxed

Values from the calculation:
calculated total energy: -6.345 eV/atom
magnetic moment: 0.0003 μB per atom
D(E_F): 2.8 states/eV per cell
symmetry: P-6m2 (187)

Unit cell a=3.9895 b=3.9895 c=3.7953 alpha=90.00 beta=90.00 gamma=120.00
Fractional positions:
Er: 0.0000 0.0000 0.0000
Co: 0.6667 0.3333 0.5000
Si: 0.3333 0.6667 0.5000

---

No. 6
Compound: Er2Co3Si4
Source: the Alexandria database
Functional: PBE-GGA
Structure: relaxed

Values from the calculation:
calculated total energy: -6.398 eV/atom
magnetic moment: 0.0000 μB per atom
D(E_F): 4.3 states/eV per cell
symmetry: Fmmm (69)

Unit cell a=7.3580 b=6.3368 c=5.2143 alpha=78.47 beta=57.55 gamma=43.98
Fractional positions:
Er: 0.1335 0.1335 0.8665
Er: 0.8665 0.8665 0.1335
Co: 0.0000 0.0000 0.5000
Co: 0.5000 0.5000 0.0000
Co: 0.5000 0.5000 0.5000
Si: 0.1689 0.5225 0.4775
Si: 0.4775 0.8311 0.1689
Si: 0.5225 0.1689 0.8311
Si: 0.8311 0.4775 0.5225

---

No. 7
Compound: Er3Co6Si2
Source: the Alexandria database
Functional: PBE-GGA
Structure: relaxed

Values from the calculation:
calculated total energy: -6.595 eV/atom
magnetic moment: 0.3522 μB per atom
D(E_F): 24.3 states/eV per cell
symmetry: Im-3m (229)

Unit cell a=7.5093 b=7.5093 c=7.5093 alpha=109.47 beta=109.47 gamma=109.47
Fractional positions:
Er: 0.0000 0.2854 0.2854
Er: 0.0000 0.7146 0.7146
Er: 0.2854 0.0000 0.2854
Er: 0.2854 0.2854 0.0000
Er: 0.7146 0.0000 0.7146
Er: 0.7146 0.7146 0.0000
Co: 0.0000 0.3360 0.6640
Co: 0.0000 0.6640 0.3360
Co: 0.3279 0.6640 0.6640
Co: 0.3360 0.0000 0.6640
Co: 0.3360 0.3360 0.6721
Co: 0.3360 0.6640 0.0000
Co: 0.3360 0.6721 0.3360
Co: 0.6640 0.0000 0.3360
Co: 0.6640 0.3279 0.6640
Co: 0.6640 0.3360 0.0000
Co: 0.6640 0.6640 0.3279
Co: 0.6721 0.3360 0.3360
Si: 0.0000 0.0000 0.5000
Si: 0.0000 0.5000 0.0000
Si: 0.5000 0.0000 0.0000
Si: 0.5000 0.5000 0.5000

---

No. 8
Compound: ErCo9Si2
Source: the Alexandria database
Functional: PBE-GGA
Structure: relaxed

Values from the calculation:
calculated total energy: -6.937 eV/atom
magnetic moment: 0.7850 μB per atom
D(E_F): 27.5 states/eV per cell
symmetry: I4_1/amd (141)

Unit cell a=7.5004 b=7.5004 c=7.5004 alpha=100.01 beta=100.01 gamma=130.71
Fractional positions:
Er: 0.3750 0.6250 0.7500
Er: 0.6250 0.3750 0.2500
Co: 0.1250 0.8750 0.2500
Co: 0.1385 0.5597 0.3323
Co: 0.1385 0.8063 0.5788
Co: 0.1937 0.2726 0.3323
Co: 0.1937 0.8615 0.9212
Co: 0.2726 0.1937 0.8323
Co: 0.2726 0.4403 0.0788
Co: 0.4403 0.2726 0.5788
Co: 0.4403 0.8615 0.1677
Co: 0.5597 0.1385 0.8323
Co: 0.5597 0.7274 0.4212
Co: 0.7274 0.5597 0.9212
Co: 0.7274 0.8063 0.1677
Co: 0.8063 0.1385 0.0788
Co: 0.8063 0.7274 0.6677
Co: 0.8615 0.1937 0.4212
Co: 0.8615 0.4403 0.6677
Co: 0.8750 0.1250 0.7500
Si: 0.0000 0.0000 0.0000
Si: 0.0000 0.0000 0.5000
Si: 0.0000 0.5000 0.0000
Si: 0.5000 0.0000 0.5000

---

Q: What is the magnetic moment in the third record?
A: 0.4851 μB per atom